1) VASP calculation (PBEsol) on LiTe3 after structural relaxation.

a = 4.2702 Å, b = 4.4244 Å, c = 12.0716 Å
α = 90.00°, β = 90.00°, γ = 90.00°
With the nearest neighbours (Å) after each atom.
Space group Immm (No. 71)
Inequivalent atoms, fractional coordinates:
Li 0.0000 0.0000 0.0000 [2 per cell]  6 Te 3.06-3.07
Te 0.0000 0.0000 0.2536 [4 per cell]  5 Te 2.97-3.08, 1 Li 3.06
Te 0.0000 0.0000 0.5000 [2 per cell]  2 Te 2.97, 4 Li 3.07

=====

2) VASP calculation (PBEsol) on LiTe3 after structural relaxation.

a = 7.5961 Å, b = 7.6082 Å, c = 3.5516 Å
α = 90.00°, β = 90.00°, γ = 90.00°
With the nearest neighbours (Å) after each atom.
Space group Cmmm (No. 65)
Inequivalent atoms, fractional coordinates:
Li 0.0000 0.0000 0.0000 [2 per cell]  8 Te 3.22, 2 Li 3.55
Te 0.0000 0.5000 0.0000 [2 per cell]  10 Te 3.22-3.55
Te 0.2500 0.2500 0.5000 [4 per cell]  4 Li 3.22, 6 Te 3.22-3.55

=====

3) VASP calculation (PBEsol) on LiTe3 after structural relaxation.

a = 6.0544 Å, b = 6.0544 Å, c = 6.0544 Å
α = 90.00°, β = 90.00°, γ = 90.00°
With the nearest neighbours (Å) after each atom.
Space group Im-3m (No. 229)
Inequivalent atoms, fractional coordinates:
Li 0.0000 0.0000 0.0000 [2 per cell]  6 Te 3.03
Te 0.0000 0.0000 0.5000 [6 per cell]  2 Li 3.03, 4 Te 3.03

=====

4) VASP calculation (PBEsol) on LiTe3 after structural relaxation.

a = 3.9972 Å, b = 3.9972 Å, c = 7.7156 Å
α = 90.00°, β = 90.00°, γ = 120.00°
With the nearest neighbours (Å) after each atom.
Space group P-6m2 (No. 187)
Inequivalent atoms, fractional coordinates:
Li 0.0000 0.0000 0.0000 [1 per cell]  6 Te 2.88
Te 0.0000 0.0000 0.5000 [1 per cell]  6 Te 3.15
Te 0.3333 0.6667 0.2227 [2 per cell]  3 Li 2.88, 3 Te 3.15

=====

What should be chosen as the least stable of them? Choose 4).

=====

1) VASP calculation (PBEsol) on Li2Te after structural relaxation.

a = 6.4444 Å, b = 6.4444 Å, c = 6.4444 Å
α = 90.00°, β = 90.00°, γ = 90.00°
With the nearest neighbours (Å) after each atom.
Space group Fm-3m (No. 225)
Inequivalent atoms, fractional coordinates:
Li 0.2500 0.2500 0.2500 [8 per cell]  4 Te 2.79
Te 0.0000 0.0000 0.0000 [4 per cell]  8 Li 2.79

=====

2) VASP calculation (PBEsol) on Li2Te after structural relaxation.

a = 4.4411 Å, b = 4.4411 Å, c = 4.4711 Å
α = 90.00°, β = 90.00°, γ = 120.00°
With the nearest neighbours (Å) after each atom.
Space group P-3m1 (No. 164)
Inequivalent atoms, fractional coordinates:
Li 0.3333 0.6667 0.2007 [2 per cell]  3 Te 2.72
Te 0.0000 0.0000 0.0000 [1 per cell]  6 Li 2.72

=====

3) VASP calculation (PBEsol) on Li2Te after structural relaxation.

a = 7.9363 Å, b = 4.4408 Å, c = 8.1413 Å
α = 90.00°, β = 102.29°, γ = 90.00°
With the nearest neighbours (Å) after each atom.
Space group C2/m (No. 12)
Inequivalent atoms, fractional coordinates:
Li 0.0844 0.0000 0.3376 [4 per cell]  3 Te 2.70-2.73
Li 0.1918 0.5000 0.1110 [4 per cell]  4 Te 2.79-2.82, 2 Li 3.12
Te 0.1111 0.5000 0.7599 [4 per cell]  7 Li 2.70-2.82

=====

4) VASP calculation (PBEsol) on Li2Te after structural relaxation.

a = 4.6091 Å, b = 4.6091 Å, c = 6.4849 Å
α = 90.00°, β = 90.00°, γ = 120.00°
With the nearest neighbours (Å) after each atom.
Space group P6_3/mmc (No. 194)
Inequivalent atoms, fractional coordinates:
Li 0.0000 0.0000 0.0000 [2 per cell]  8 Li 3.12-3.24, 6 Te 3.12
Li 0.3333 0.6667 0.2500 [2 per cell]  3 Te 2.66
Te 0.3333 0.6667 0.7500 [2 per cell]  3 Li 2.66

=====

What should be chosen as the least stable of them? Choose 2).

=====

1) VASP calculation (PBEsol) on LiTl2Te after structural relaxation.

a = 4.3698 Å, b = 4.3698 Å, c = 11.2639 Å
α = 90.00°, β = 90.00°, γ = 90.00°
With the nearest neighbours (Å) after each atom.
Space group I4/mmm (No. 139)
Inequivalent atoms, fractional coordinates:
Li 0.0000 0.0000 0.0000 [2 per cell]  4 Te 3.09
Tl 0.0000 0.5000 0.2500 [4 per cell]  4 Tl 3.09
Te 0.0000 0.0000 0.5000 [2 per cell]  4 Li 3.09

=====

2) VASP calculation (PBEsol) on LiTl2Te after structural relaxation.

a = 8.6136 Å, b = 8.6136 Å, c = 6.0868 Å
α = 90.00°, β = 90.00°, γ = 90.00°
With the nearest neighbours (Å) after each atom.
Space group I-42d (No. 122)
Inequivalent atoms, fractional coordinates:
Li 0.0000 0.0000 0.0000 [4 per cell]  2 Te 3.04, 4 Tl 3.12
Tl 0.2471 0.7500 0.1250 [8 per cell]  2 Tl 3.04, 2 Li 3.12, 2 Te 3.16
Te 0.0000 0.0000 0.5000 [4 per cell]  2 Li 3.04, 4 Tl 3.16

=====

What should be chosen as the least stable of them? Choose 2).